A PBEsol-optimized structure of ZrTlZn2. Source: Alexandria, functional SCAN.

Unit cell a=4.108 b=4.108 c=8.779 alpha=90.00 beta=90.00 gamma=90.00
Space group I-4m2 (No. 119)
Inequivalent atoms, fractional coordinates:
1 Zr 0.000 0.000 0.000 x2
2 Tl 0.000 0.500 0.250 x2
3 Zn 0.000 0.000 0.500 x2
4 Zn 0.000 0.500 0.750 x2

E_tot = -32.55 eV/atom
energy of formation = -24 meV per atom